1.
RbTbSO PBE-GGA optimized geometry; M_tot = 0.01 μB/cell; SG = P-3m1 (164); offset from the most stable computed form = 0.443 eV/f.u.
1.0
-0.673 -0.517 -3.661
-2.685 -0.730 2.526
-4.665 13.519 -1.052
O Rb S Tb
2 2 2 2
Direct
0.333 0.667 0.425
0.667 0.333 0.575
0.667 0.333 0.279
0.333 0.667 0.721
0.333 0.667 0.112
0.667 0.333 0.888
0.000 0.000 0.000
0.000 0.000 0.500



2.
Sc4FeAsN2 PBE-GGA optimized geometry; M_tot = 1.07 μB/cell; SG = P-6m2 (187); offset from the most stable computed form = 0.000 eV/f.u.
1.0
3.207 0.000 0.000
-1.604 2.777 0.000
0.000 0.000 13.329
As Fe N Sc
1 1 2 4
Direct
0.000 0.000 0.000
0.667 0.333 0.500
0.333 0.667 0.244
0.333 0.667 0.756
0.667 0.333 0.157
0.000 0.000 0.346
0.000 0.000 0.654
0.667 0.333 0.843



3.
NdCuNi PBE-GGA optimized geometry; energy relative to the elements = 7.2 kJ per mole of atoms; M_tot = 0.01 μB/cell; SG = F-43m (216)
1.0
0.000 3.134 3.134
3.134 0.000 3.134
3.134 3.134 0.000
Cu Nd Ni
1 1 1
Direct
0.000 0.000 0.000
0.250 0.250 0.250
0.750 0.750 0.750



4.
LuInCuW PBE-GGA optimized geometry; M_tot = 1.33 μB/cell; SG = F-43m (216); offset from the most stable computed form = 0.000 eV/f.u.
1.0
0.000 3.377 3.377
3.377 0.000 3.377
3.377 3.377 0.000
Cu In Lu W
1 1 1 1
Direct
0.750 0.750 0.750
0.000 0.000 0.000
0.500 0.500 0.500
0.250 0.250 0.250



5.
DyAlFe2C PBE-GGA optimized geometry; M_tot = 4.61 μB/cell; SG = P4/mmm (123); energy = -6.710 eV/atom
1.0
4.006 0.000 0.000
0.000 4.006 0.000
0.000 0.000 4.698
Al C Dy Fe
1 1 1 2
Direct
0.000 0.000 0.000
0.500 0.500 0.500
0.500 0.500 0.000
0.500 0.000 0.500
0.000 0.500 0.500



6.
HfSc2Fe PBE-GGA optimized geometry; energy relative to the elements = 14.8 kJ per mole of atoms; M_tot = 0.35 μB/cell; SG = F-43m (216)
1.0
-0.430 -2.023 4.234
1.740 2.139 3.821
-2.922 1.841 3.205
Fe Hf Sc
1 1 2
Direct
0.500 0.500 0.500
0.250 0.250 0.250
0.000 0.000 0.000
0.750 0.750 0.750



7.
ZrCu PBE-GGA optimized geometry; energy relative to the elements = 7.4 kJ per mole of atoms; M_tot = 0.01 μB/cell; SG = Pmmn (59)
1.0
4.712 0.000 0.000
0.000 14.103 0.000
0.000 0.000 4.231
Cu Zr
8 8
Direct
0.983 0.268 0.000
0.573 0.375 0.000
0.983 0.482 0.000
0.429 0.875 0.000
0.905 0.375 0.500
0.350 0.768 0.500
0.760 0.875 0.500
0.350 0.982 0.500
0.419 0.115 0.000
0.419 0.635 0.000
0.928 0.774 0.000
0.928 0.976 0.000
0.914 0.135 0.500
0.405 0.274 0.500
0.405 0.476 0.500
0.914 0.615 0.500



8.
AgAs5Au3 PBE-GGA optimized geometry; SG = P6/mmm (191); energy = -3.552 eV/atom
1.0
-1.273 -1.243 -4.994
3.307 -3.105 2.743
-6.810 -4.689 2.903
Ag As Au
1 5 3
Direct
0.000 0.000 0.000
0.667 0.333 0.140
0.333 0.667 0.140
0.000 0.000 0.500
0.667 0.333 0.860
0.333 0.667 0.860
0.500 0.000 0.500
0.000 0.500 0.500
0.500 0.500 0.500



9.
DyCuSnTe3 PBE-GGA optimized geometry; M_tot = 0.00 μB/cell; SG = Pnma (62); offset from the most stable computed form = 0.063 eV/f.u.
1.0
14.493 0.000 0.000
0.000 4.260 0.000
0.000 0.000 11.596
Cu Dy Sn Te
4 4 4 12
Direct
0.493 0.250 0.082
0.993 0.250 0.418
0.007 0.750 0.582
0.507 0.750 0.918
0.991 0.750 0.173
0.491 0.750 0.327
0.509 0.250 0.673
0.009 0.250 0.827
0.287 0.750 0.050
0.787 0.750 0.450
0.213 0.250 0.550
0.713 0.250 0.950
0.115 0.250 0.059
0.609 0.750 0.112
0.356 0.250 0.241
0.856 0.250 0.259
0.109 0.750 0.388
0.615 0.250 0.441
0.385 0.750 0.559
0.891 0.250 0.612
0.144 0.750 0.741
0.644 0.750 0.759
0.391 0.250 0.888
0.885 0.750 0.941



10.
LuNb2Pt PBE-GGA optimized geometry; energy relative to the elements = -26.8 kJ per mole of atoms; M_tot = 0.01 μB/cell; SG = F-43m (216)
1.0
0.000 3.332 3.332
3.332 0.000 3.332
3.332 3.332 0.000
Lu Nb Pt
1 2 1
Direct
0.250 0.250 0.250
0.000 0.000 0.000
0.750 0.750 0.750
0.500 0.500 0.500